{
  "formula": "InSiAs",
  "functional": "PBE-GGA",
  "state": "relaxed",
  "cell": [[-5.766, 1.720, -1.420], [-5.511, -1.498, -2.368], [-1.902, -0.921, 2.619]],
  "species": ["Si", "In", "As"],
  "frac_coords": [[0.633, 0.634, 0.367], [0.323, 0.323, 0.677], [0.043, 0.044, 0.957]],
  "e_form_raw_mev_per_atom": 233.4,
  "de_polymorph_mev_per_atom": 298,
  "magnetic_moment_mub_per_fu": 0.0
}

=====

{
  "formula": "LiRe2B",
  "functional": "PBE-GGA",
  "state": "relaxed",
  "cell": [[3.611, 0.000, 0.000], [0.000, 3.611, 0.000], [1.806, 1.806, 8.325]],
  "species": ["B", "B", "Li", "Li", "Re", "Re", "Re", "Re"],
  "frac_coords": [[0.000, 0.000, 0.000], [0.750, 0.250, 0.500], [0.250, 0.750, 0.500], [0.500, 0.500, 0.000], [0.375, 0.351, 0.750], [0.649, 0.125, 0.250], [0.101, 0.625, 0.250], [0.875, 0.899, 0.750]],
  "e_form_ev_per_atom": 0.93,
  "magnetic_moment_mub_per_fu": 0.0
}

=====

{
  "formula": "CsCrN3",
  "functional": "PBE-GGA",
  "state": "relaxed",
  "cell": [[4.387, 0.000, 0.000], [0.000, 4.387, 0.000], [0.000, 0.000, 4.387]],
  "species": ["Cr", "N", "N", "N", "Cs"],
  "frac_coords": [[0.500, 0.500, 0.500], [0.000, 0.500, 0.000], [0.500, 0.000, 0.000], [0.000, 0.000, 0.500], [0.000, 0.000, 0.000]],
  "e_form_raw_mev_per_atom": 3109.0,
  "magnetic_moment_mub_per_fu": 2.5
}

=====

{
  "formula": "KSbTe2",
  "functional": "PBE-GGA",
  "state": "relaxed",
  "cell": [[6.210, 0.000, 0.000], [0.000, 6.210, 0.000], [0.000, 0.000, 3.252]],
  "species": ["K", "Te", "Te", "Sb"],
  "frac_coords": [[0.500, 0.000, 0.500], [0.000, 0.000, 0.000], [0.500, 0.500, 0.000], [0.000, 0.500, 0.500]],
  "e_form_raw_mev_per_atom": -218.4,
  "magnetic_moment_mub_per_fu": 0.0
}

=====

{
  "formula": "Tm4ZnCu3",
  "functional": "PBE-GGA",
  "state": "relaxed",
  "cell": [[-0.419, 0.602, 3.354], [1.703, -4.460, 1.013], [9.051, 3.567, 0.490]],
  "species": ["Zn", "Tm", "Tm", "Tm", "Tm", "Cu", "Cu", "Cu"],
  "frac_coords": [[0.500, 0.500, 0.000], [0.000, 0.000, 0.500], [0.000, 0.500, 0.745], [0.000, 0.000, 0.000], [0.000, 0.500, 0.255], [0.500, 0.500, 0.500], [0.500, 0.000, 0.248], [0.500, 0.000, 0.752]],
  "e_form_ev_per_atom": -0.30,
  "de_polymorph_mev_per_atom": 0,
  "magnetic_moment_mub_per_fu": 0.0
}

=====

{
  "formula": "Ce4CoHg2",
  "functional": "PBE-GGA",
  "state": "relaxed",
  "cell": [[3.535, 0.000, 0.000], [0.000, 8.349, 1.403], [0.000, -2.319, 5.945]],
  "species": ["Hg", "Hg", "Ce", "Ce", "Ce", "Ce", "Co"],
  "frac_coords": [[0.500, 0.428, 0.684], [0.500, 0.715, 0.459], [0.500, 0.080, 0.353], [0.500, 0.063, 0.790], [0.000, 0.423, 0.158], [0.000, 0.720, 0.985], [0.000, 0.071, 0.071]],
  "e_form_ev_per_atom": -0.10,
  "de_polymorph_mev_per_atom": 64,
  "magnetic_moment_mub_per_fu": 3.1
}